Record 1
Pm2Dy3Al4: relaxed, PBE-GGA. Values from VASP.

The structure in Quantum ESPRESSO input format:
```
&SYSTEM
  ibrav = 0, nat = 18, ntyp = 3
/
ATOMIC_SPECIES
Pm 145.00 Pm.upf
Dy 162.50 Dy.upf
Al 26.98 Al.upf
CELL_PARAMETERS angstrom
3.134 -9.788 0.000
3.134 9.788 0.000
0.000 0.000 7.731
ATOMIC_POSITIONS crystal
Pm 0.088 0.912 0.897
Pm 0.412 0.588 0.397
Pm 0.588 0.412 0.603
Pm 0.912 0.088 0.103
Dy 0.000 0.000 0.500
Dy 0.001 0.499 0.750
Dy 0.499 0.001 0.250
Dy 0.500 0.500 0.000
Dy 0.501 0.999 0.750
Dy 0.999 0.501 0.250
Al 0.152 0.848 0.507
Al 0.164 0.336 0.750
Al 0.336 0.164 0.250
Al 0.348 0.652 0.007
Al 0.652 0.348 0.993
Al 0.664 0.836 0.750
Al 0.836 0.664 0.250
Al 0.848 0.152 0.493
```

Total moment: 0.000 μB per cell
Space group: Cmce, No. 64
Energy relative to the elements: -4.86 kcal/mol of atoms



Record 2
Cs2VCoBr6: relaxed, PBE-GGA. Values from VASP.

The structure in Quantum ESPRESSO input format:
```
&SYSTEM
  ibrav = 0, nat = 10, ntyp = 4
/
ATOMIC_SPECIES
Cs 132.91 Cs.upf
V 50.94 V.upf
Co 58.93 Co.upf
Br 79.90 Br.upf
CELL_PARAMETERS angstrom
-3.715 3.715 5.212
3.715 -3.715 5.212
3.715 3.715 -5.212
ATOMIC_POSITIONS crystal
Cs 0.250 0.750 0.500
Cs 0.750 0.250 0.500
V 0.000 0.000 0.000
Co 0.500 0.500 0.000
Br 0.248 0.248 0.496
Br 0.248 0.752 0.000
Br 0.250 0.250 0.000
Br 0.750 0.750 0.000
Br 0.752 0.248 0.000
Br 0.752 0.752 0.504
```

E_form (uncorrected): -8.1 eV/f.u.
Total moment: 0.000 μB per cell
Space group: I4/mmm, No. 139



Record 3
Cu2Ni7Ge2: relaxed, PBE-GGA. Values from VASP.

The structure in Quantum ESPRESSO input format:
```
&SYSTEM
  ibrav = 0, nat = 11, ntyp = 3
/
ATOMIC_SPECIES
Cu 63.55 Cu.upf
Ni 58.69 Ni.upf
Ge 72.64 Ge.upf
CELL_PARAMETERS angstrom
3.138 -3.821 0.000
3.138 3.821 0.000
0.000 0.000 6.280
ATOMIC_POSITIONS crystal
Cu 0.180 0.820 0.000
Cu 0.820 0.180 0.000
Ni 0.000 0.000 0.301
Ni 0.000 0.000 0.699
Ni 0.000 0.500 0.282
Ni 0.000 0.500 0.718
Ni 0.500 0.000 0.282
Ni 0.500 0.000 0.718
Ni 0.500 0.500 0.000
Ge 0.308 0.308 0.500
Ge 0.692 0.692 0.500
```

Total moment: 0.783 μB per cell
Space group: Cmmm, No. 65
Energy relative to the elements: 7.41 kcal/mol of atoms



Record 4
KInOs2: relaxed, PBE-GGA. Values from VASP.

The structure in Quantum ESPRESSO input format:
```
&SYSTEM
  ibrav = 0, nat = 4, ntyp = 3
/
ATOMIC_SPECIES
K 39.10 K.upf
In 114.82 In.upf
Os 190.23 Os.upf
CELL_PARAMETERS angstrom
2.788 0.000 0.000
0.000 4.952 0.000
-0.555 0.000 6.641
ATOMIC_POSITIONS crystal
K 0.000 0.000 0.000
In 0.500 0.000 0.500
Os 0.266 0.500 0.659
Os 0.734 0.500 0.341
```

Total moment: 0.900 μB per cell
Space group: P2/m, No. 10
Energy relative to the elements: 25.49 kcal/mol of atoms